A relaxed structure of La5Sn4H. Source: the Alexandria database, functional PBE. Values from VASP.

```
&SYSTEM
  ibrav = 0, nat = 10, ntyp = 3
/
ATOMIC_SPECIES
La 138.91 La.upf
Sn 118.71 Sn.upf
H 1.01 H.upf
CELL_PARAMETERS angstrom
-5.043 5.043 3.257
5.043 -5.043 3.257
5.043 5.043 -3.257
ATOMIC_POSITIONS crystal
La 0.000 0.000 0.000
La 0.260 0.644 0.810
La 0.450 0.260 0.617
La 0.644 0.834 0.383
La 0.834 0.450 0.190
Sn 0.143 0.350 0.393
Sn 0.350 0.957 0.207
Sn 0.750 0.143 0.793
Sn 0.957 0.750 0.607
H 0.609 0.609 0.000
```

* mass density: 5.9 Mg/m³
* VASP energy: -4.933 eV per atom



A relaxed structure of DyLu2H. Source: the Alexandria database, functional PBE. Values from VASP.

```
&SYSTEM
  ibrav = 0, nat = 12, ntyp = 3
/
ATOMIC_SPECIES
Dy 162.50 Dy.upf
Lu 174.97 Lu.upf
H 1.01 H.upf
CELL_PARAMETERS angstrom
3.521 0.000 0.000
-1.761 3.050 0.000
0.000 0.000 24.957
ATOMIC_POSITIONS crystal
Dy 0.000 0.000 0.000
Dy 0.333 0.667 0.667
Dy 0.667 0.333 0.333
Lu 0.000 0.000 0.220
Lu 0.000 0.000 0.780
Lu 0.333 0.667 0.446
Lu 0.333 0.667 0.887
Lu 0.667 0.333 0.113
Lu 0.667 0.333 0.554
H 0.000 0.000 0.500
H 0.333 0.667 0.167
H 0.667 0.333 0.833
```

* mass density: 9.5 Mg/m³
* VASP energy: -4.440 eV per atom



A relaxed structure of Tb2PmPr6Nd3. Source: the Alexandria database, functional PBE. Values from VASP.

```
&SYSTEM
  ibrav = 0, nat = 12, ntyp = 4
/
ATOMIC_SPECIES
Tb 158.93 Tb.upf
Pm 145.00 Pm.upf
Pr 140.91 Pr.upf
Nd 144.24 Nd.upf
CELL_PARAMETERS angstrom
3.189 -5.525 0.000
3.189 5.525 0.000
-2.129 0.000 11.958
ATOMIC_POSITIONS crystal
Tb 0.167 0.833 0.000
Tb 0.833 0.167 0.000
Pm 0.500 0.500 0.000
Pr 0.083 0.417 0.753
Pr 0.249 0.249 0.247
Pr 0.417 0.083 0.753
Pr 0.583 0.917 0.247
Pr 0.751 0.751 0.753
Pr 0.917 0.583 0.247
Nd 0.000 0.000 0.500
Nd 0.333 0.667 0.500
Nd 0.667 0.333 0.500
```

* E_form: 0.29 kcal/mol of atoms
* mass density: 6.9 Mg/m³



A relaxed structure of Tl3Cd9In2. Source: the Alexandria database, functional PBE. Values from VASP.

```
&SYSTEM
  ibrav = 0, nat = 14, ntyp = 3
/
ATOMIC_SPECIES
Tl 204.38 Tl.upf
Cd 112.41 Cd.upf
In 114.82 In.upf
CELL_PARAMETERS angstrom
-2.434 5.805 6.535
2.434 -5.805 6.535
2.434 5.805 -6.535
ATOMIC_POSITIONS crystal
Tl 0.000 0.000 0.000
Tl 0.280 0.280 0.000
Tl 0.720 0.720 0.000
Cd 0.009 0.634 0.375
Cd 0.129 0.850 0.279
Cd 0.260 0.634 0.625
Cd 0.430 0.150 0.279
Cd 0.500 0.000 0.500
Cd 0.570 0.850 0.721
Cd 0.740 0.366 0.375
Cd 0.871 0.150 0.721
Cd 0.991 0.366 0.625
In 0.339 0.500 0.839
In 0.661 0.500 0.161
```

* E_form: 0.79 kcal/mol of atoms
* mass density: 8.3 Mg/m³



A relaxed structure of Pm3Nd6Th. Source: the Alexandria database, functional PBE. Values from VASP.

```
&SYSTEM
  ibrav = 0, nat = 20, ntyp = 3
/
ATOMIC_SPECIES
Pm 145.00 Pm.upf
Nd 144.24 Nd.upf
Th 232.04 Th.upf
CELL_PARAMETERS angstrom
13.454 0.000 0.000
0.000 3.594 0.000
-2.660 0.000 14.461
ATOMIC_POSITIONS crystal
Pm 0.073 0.250 0.102
Pm 0.375 0.750 0.497
Pm 0.421 0.250 0.903
Pm 0.579 0.750 0.097
Pm 0.625 0.250 0.503
Pm 0.927 0.750 0.898
Nd 0.120 0.250 0.486
Nd 0.188 0.750 0.919
Nd 0.218 0.750 0.289
Nd 0.268 0.750 0.700
Nd 0.343 0.250 0.119
Nd 0.499 0.750 0.309
Nd 0.501 0.250 0.691
Nd 0.657 0.750 0.881
Nd 0.732 0.250 0.300
Nd 0.782 0.250 0.711
Nd 0.812 0.250 0.081
Nd 0.880 0.750 0.514
Th 0.038 0.250 0.721
Th 0.962 0.750 0.279
```

* E_form: 1.85 kcal/mol of atoms
* mass density: 7.3 Mg/m³



A relaxed structure of K2BeSb. Source: the Alexandria database, functional PBE. Values from VASP.

```
&SYSTEM
  ibrav = 0, nat = 8, ntyp = 3
/
ATOMIC_SPECIES
K 39.10 K.upf
Be 9.01 Be.upf
Sb 121.76 Sb.upf
CELL_PARAMETERS angstrom
4.910 0.000 0.000
0.000 4.910 0.000
0.000 0.000 10.171
ATOMIC_POSITIONS crystal
K 0.000 0.500 0.250
K 0.000 0.500 0.750
K 0.500 0.000 0.250
K 0.500 0.000 0.750
Be 0.000 0.000 0.000
Be 0.500 0.500 0.500
Sb 0.000 0.000 0.500
Sb 0.500 0.500 0.000
```

* mass density: 2.8 Mg/m³
* VASP energy: -2.102 eV per atom



A relaxed structure of BePd2Pt. Source: the Alexandria database, functional PBE. Values from VASP.

```
&SYSTEM
  ibrav = 0, nat = 16, ntyp = 3
/
ATOMIC_SPECIES
Be 9.01 Be.upf
Pd 106.42 Pd.upf
Pt 195.08 Pt.upf
CELL_PARAMETERS angstrom
3.651 0.000 0.000
0.000 3.651 0.000
0.000 0.000 18.145
ATOMIC_POSITIONS crystal
Be 0.000 0.000 0.000
Be 0.000 0.500 0.250
Be 0.500 0.000 0.750
Be 0.500 0.500 0.500
Pd 0.243 0.250 0.125
Pd 0.250 0.743 0.375
Pd 0.250 0.757 0.875
Pd 0.257 0.250 0.625
Pd 0.743 0.750 0.625
Pd 0.750 0.243 0.875
Pd 0.750 0.257 0.375
Pd 0.757 0.750 0.125
Pt 0.000 0.000 0.500
Pt 0.000 0.500 0.750
Pt 0.500 0.000 0.250
Pt 0.500 0.500 0.000
```

* E_form: 2.02 kcal/mol of atoms
* mass density: 11.4 Mg/m³



A relaxed structure of GeSe2S. Source: the Alexandria database, functional PBE. Values from VASP.

```
&SYSTEM
  ibrav = 0, nat = 12, ntyp = 3
/
ATOMIC_SPECIES
Ge 72.64 Ge.upf
Se 78.96 Se.upf
S 32.06 S.upf
CELL_PARAMETERS angstrom
3.846 0.000 0.000
-1.923 3.331 0.000
0.000 0.000 23.307
ATOMIC_POSITIONS crystal
Ge 0.000 0.000 0.000
Ge 0.333 0.667 0.667
Ge 0.667 0.333 0.333
Se 0.000 0.000 0.399
Se 0.000 0.000 0.601
Se 0.333 0.667 0.066
Se 0.333 0.667 0.268
Se 0.667 0.333 0.732
Se 0.667 0.333 0.934
S 0.000 0.000 0.500
S 0.333 0.667 0.167
S 0.667 0.333 0.833
```

* mass density: 4.4 Mg/m³
* VASP energy: -3.731 eV per atom



A relaxed structure of BaSrSe2. Source: the Alexandria database, functional PBE. Values from VASP.

```
&SYSTEM
  ibrav = 0, nat = 16, ntyp = 3
/
ATOMIC_SPECIES
Ba 137.33 Ba.upf
Sr 87.62 Sr.upf
Se 78.96 Se.upf
CELL_PARAMETERS angstrom
7.182 0.000 0.000
0.000 7.182 0.000
0.000 0.000 14.170
ATOMIC_POSITIONS crystal
Ba 0.000 0.000 0.000
Ba 0.000 0.500 0.250
Ba 0.500 0.000 0.750
Ba 0.500 0.500 0.500
Sr 0.000 0.000 0.500
Sr 0.000 0.500 0.750
Sr 0.500 0.000 0.250
Sr 0.500 0.500 0.000
Se 0.231 0.250 0.625
Se 0.250 0.731 0.875
Se 0.250 0.769 0.375
Se 0.269 0.250 0.125
Se 0.731 0.750 0.125
Se 0.750 0.231 0.375
Se 0.750 0.269 0.875
Se 0.769 0.750 0.625
```

* mass density: 3.5 Mg/m³
* VASP energy: -4.441 eV per atom



A relaxed structure of LaBeAg4. Source: the Alexandria database, functional PBE. Values from VASP.

```
&SYSTEM
  ibrav = 0, nat = 6, ntyp = 3
/
ATOMIC_SPECIES
La 138.91 La.upf
Be 9.01 Be.upf
Ag 107.87 Ag.upf
CELL_PARAMETERS angstrom
0.000 3.948 3.948
3.948 0.000 3.948
3.948 3.948 0.000
ATOMIC_POSITIONS crystal
La 0.000 0.000 0.000
Be 0.250 0.250 0.250
Ag 0.128 0.624 0.624
Ag 0.624 0.128 0.624
Ag 0.624 0.624 0.128
Ag 0.624 0.624 0.624
```

* E_form: 1.92 kcal/mol of atoms
* mass density: 7.8 Mg/m³



A relaxed structure of Rb2NaLiI6. Source: the Alexandria database, functional PBE. Values from VASP.

```
&SYSTEM
  ibrav = 0, nat = 10, ntyp = 4
/
ATOMIC_SPECIES
Rb 85.47 Rb.upf
Na 22.99 Na.upf
Li 6.94 Li.upf
I 126.90 I.upf
CELL_PARAMETERS angstrom
-4.209 4.209 5.964
4.209 -4.209 5.964
4.209 4.209 -5.964
ATOMIC_POSITIONS crystal
Rb 0.250 0.750 0.500
Rb 0.750 0.250 0.500
Na 0.000 0.000 0.000
Li 0.500 0.500 0.000
I 0.259 0.259 0.000
I 0.259 0.259 0.517
I 0.259 0.741 0.000
I 0.741 0.259 0.000
I 0.741 0.741 0.000
I 0.741 0.741 0.483
```

* mass density: 3.8 Mg/m³
* VASP energy: -2.362 eV per atom



A relaxed structure of TaBePb2. Source: the Alexandria database, functional PBE. Values from VASP.

```
&SYSTEM
  ibrav = 0, nat = 8, ntyp = 3
/
ATOMIC_SPECIES
Ta 180.95 Ta.upf
Be 9.01 Be.upf
Pb 207.20 Pb.upf
CELL_PARAMETERS angstrom
11.363 0.000 0.000
0.000 3.073 0.000
-1.783 0.000 4.886
ATOMIC_POSITIONS crystal
Ta 0.000 0.000 0.000
Ta 0.500 0.500 0.000
Be 0.325 0.000 0.714
Be 0.825 0.500 0.714
Pb 0.063 0.500 0.547
Pb 0.272 0.500 0.189
Pb 0.563 0.000 0.547
Pb 0.772 0.000 0.189
```

* E_form: 14.20 kcal/mol of atoms
* mass density: 11.8 Mg/m³



Q: Number 5 is which compound?
A: Pm3Nd6Th